PmLuThPa | PBE-GGA | relaxed

## Properties
* VASP energy: -99.20 eV/cell
* DOS(E_F): 3.039 states/eV per atom
* formation enthalpy at 0 K: 347 meV per atom
* magnetization: 0.39 μB per cell

Lattice parameters (Å, degrees): 7.8396 7.8396 7.8396 90.00 90.00 90.00
Space group F-43m (No. 216)
One atom of each set of equivalent atoms:
Pm: 0.0000 0.0000 0.0000 (multiplicity 4)
Lu: 0.2500 0.2500 0.7500 (multiplicity 4)
Th: 0.0000 0.0000 0.5000 (multiplicity 4)
Pa: 0.2500 0.2500 0.2500 (multiplicity 4)